A plane-wave DFT calculation with PBE-GGA was carried out for LiPSe after structural relaxation.

a b c (Å): 4.8243 4.8243 2.6121
angles (deg): 90.00 90.00 120.00
Space group P3m1 (No. 156)
Inequivalent atoms, fractional coordinates:
1 Li 0.0000 0.0000 0.0000 [1 per cell]
2 P 0.3333 0.6667 0.5061 [1 per cell]
3 Se 0.6667 0.3333 0.5059 [1 per cell]

- excess energy over the best structure of this formula in the dataset (eV per atom) = 0.535
- theoretical density (g cm⁻³) = 3.69
- DOS(E_F) (states/eV/cell) = 0.64